# 1
Pr4N2O3 | PBE-GGA | relaxed

Unit cell a=6.2996 b=6.2996 c=9.3254 alpha=122.17 beta=122.17 gamma=33.64
Closest atoms and distances in Å follow each position.
Sites, in units of the cell vectors:
Pr (0.0814, 0.0814, 0.3832)  1 N 2.33, 5 O 2.45-2.59
Pr (0.2517, 0.2517, 0.1638)  3 N 2.35-2.36
Pr (0.7483, 0.7483, 0.8362)  3 N 2.35-2.36
Pr (0.9186, 0.9186, 0.6168)  1 N 2.33, 5 O 2.45-2.59
N (0.1361, 0.1361, 0.8603)  4 Pr 2.33-2.36
N (0.8639, 0.8639, 0.1397)  4 Pr 2.33-2.36
O (0.3127, 0.3127, 0.6734)  3 Pr 2.45-2.59
O (0.5000, 0.5000, 0.5000)  6 Pr 2.58-2.89
O (0.6873, 0.6873, 0.3266)  3 Pr 2.45-2.59

# 2
BaNbB2 | PBE-GGA | relaxed

Unit cell a=4.6057 b=4.6057 c=4.6057 alpha=60.00 beta=60.00 gamma=60.00
Closest atoms and distances in Å follow each position.
Sites, in units of the cell vectors:
Ba (0.0000, 0.0000, 0.0000)  8 B 2.82
Nb (0.5000, 0.5000, 0.5000)  8 B 2.82
B (0.2500, 0.2500, 0.2500)  4 Ba 2.82, 4 Nb 2.82
B (0.7500, 0.7500, 0.7500)  4 Ba 2.82, 4 Nb 2.82

Output
Energy above the most stable polymorph in this dataset   767 meV/atom
Formation energy   1.47 eV per atom

# 3
MgPdAu | PBE-GGA | relaxed

Unit cell a=4.4909 b=4.4909 c=5.6216 alpha=94.92 beta=94.92 gamma=63.44
Closest atoms and distances in Å follow each position.
Sites, in units of the cell vectors:
Mg (0.0000, 0.0000, 0.0000)  4 Au 2.72-2.95, 5 Pd 2.73-2.89
Mg (0.6571, 0.6571, 0.6289)  6 Pd 2.70-2.86, 3 Au 2.78-2.90
Pd (0.3288, 0.3288, 0.8217)  3 Au 2.78-2.93, 6 Mg 2.80-2.86, 1 Pd 2.96
Pd (0.9913, 0.9913, 0.5128)  5 Mg 2.70-2.89, 3 Au 2.83-2.87, 1 Pd 2.96
Au (0.3269, 0.3269, 0.3266)  5 Pd 2.78-2.87, 3 Au 2.85-2.92, 2 Mg 2.90-2.95
Au (0.6647, 0.6647, 0.1246)  5 Mg 2.72-2.84, 3 Au 2.85-2.92, 1 Pd 2.93

Output
Energy above the most stable polymorph in this dataset   24 meV/atom
Formation energy   -0.56 eV per atom

# 4
Pm4DyGa3 | PBE-GGA | relaxed

Unit cell a=8.9326 b=8.9326 c=8.9326 alpha=96.68 beta=96.68 gamma=140.11
Closest atoms and distances in Å follow each position.
Sites, in units of the cell vectors:
Pm (0.0878, 0.7847, 0.8725)  4 Ga 3.12-3.27, 1 Pm 3.31
Pm (0.2153, 0.0878, 0.3031)  4 Ga 3.12-3.27, 1 Pm 3.31
Pm (0.2847, 0.5878, 0.8725)  4 Ga 3.12-3.27, 1 Pm 3.31
Pm (0.4122, 0.2847, 0.6969)  4 Ga 3.12-3.27, 1 Pm 3.31
Pm (0.5878, 0.7153, 0.3031)  4 Ga 3.12-3.27, 1 Pm 3.31
Pm (0.7153, 0.4122, 0.1275)  4 Ga 3.12-3.27, 1 Pm 3.31
Pm (0.7847, 0.9122, 0.6969)  4 Ga 3.12-3.27, 1 Pm 3.31
Pm (0.9122, 0.2153, 0.1275)  4 Ga 3.12-3.27, 1 Pm 3.31
Dy (0.2500, 0.7500, 0.5000)  4 Ga 3.03, 2 Dy 3.05
Dy (0.7500, 0.2500, 0.5000)  4 Ga 3.03, 2 Dy 3.05
Ga (0.1559, 0.3441, 0.5000)  2 Dy 3.03, 4 Pm 3.12-3.27
Ga (0.2500, 0.2500, 0.0000)  2 Ga 3.05, 8 Pm 3.15
Ga (0.3441, 0.8441, 0.1882)  2 Dy 3.03, 4 Pm 3.12-3.27
Ga (0.6559, 0.1559, 0.8118)  2 Dy 3.03, 4 Pm 3.12-3.27
Ga (0.7500, 0.7500, 0.0000)  2 Ga 3.05, 8 Pm 3.15
Ga (0.8441, 0.6559, 0.5000)  2 Dy 3.03, 4 Pm 3.12-3.27

Output
Formation energy   -0.46 eV per atom

| no. | D(E_F) (states/eV/cell) | E (eV per atom) |
| --- | --- | --- |
| 1 | 0.00 | -7.903 |
| 2 | 6.00 | -4.866 |
| 3 | 2.20 | -3.911 |
| 4 | 12.77 | -4.549 |